## MnBiO3 (PBE with a Hubbard U)

Data for a geometry-optimized MnBiO3 structure.

Lattice parameters (Å, degrees): 15.8754 5.6078 11.4812 90.00 90.00 90.00
Space group Pmn2_1 (No. 31)
Symmetry-distinct sites (fractional):
Mn: 0.1246 0.9998 0.0000 x4
Mn: 0.1248 0.0147 0.5017 x4
Mn: 0.1257 0.5028 0.2469 x4
Mn: 0.1266 0.4949 0.7484 x4
Bi: 0.0000 0.0342 0.7412 x2
Bi: 0.0000 0.4777 0.4825 x2
Bi: 0.0000 0.5371 0.0083 x2
Bi: 0.0000 0.9759 0.2679 x2
Bi: 0.2360 0.5448 0.0025 x4
Bi: 0.2370 0.9819 0.7527 x4
O: 0.0000 0.0604 0.5453 x2
O: 0.0000 0.4375 0.7285 x2
O: 0.0000 0.5631 0.2059 x2
O: 0.0000 0.9431 0.0298 x2
O: 0.0903 0.2700 0.3648 x4
O: 0.0943 0.7710 0.3835 x4
O: 0.1148 0.6927 0.9072 x4
O: 0.1253 0.1907 0.8381 x4
O: 0.1299 0.7923 0.6571 x4
O: 0.1346 0.2729 0.0991 x4
O: 0.1508 0.2829 0.6054 x4
O: 0.1580 0.7525 0.1368 x4
O: 0.2469 0.4424 0.2842 x4
O: 0.2475 0.0367 0.4578 x4

## Properties
Raw total energy   -530.5 eV/cell